1.
DFT (GGA-PBE) results for LaY2Be after structural relaxation.

Cell and atoms, written as extended XYZ:
```
4
Lattice="-3.080 0.454 3.597 1.763 -2.665 1.846 4.797 2.801 3.754" Properties=species:S:1:pos:R:3 pbc="T T T"
Y 2.974 0.190 2.522
Y 0.306 -0.122 0.278
La 3.380 0.329 5.998
Be 0.100 0.261 3.198
```

---

2.
DFT (GGA-PBE) results for La3YBe after structural relaxation.

Cell and atoms, written as extended XYZ:
```
5
Lattice="-1.034 -5.403 1.816 4.126 0.563 4.027 -3.932 2.012 3.747" Properties=species:S:1:pos:R:3 pbc="T T T"
La 2.063 0.282 2.013
La -0.517 -2.701 0.908
La -1.966 1.006 1.874
Be -0.421 -1.413 4.795
Y 0.000 0.000 0.000
```

Computed properties:
relative energy among the computed polymorphs: 759 meV per atom

---

3.
DFT (GGA-PBE) results for La2YBe2 after structural relaxation.

Cell and atoms, written as extended XYZ:
```
10
Lattice="-0.464 -5.361 -5.118 -3.382 -4.410 4.926 -4.096 1.638 -1.345" Properties=species:S:1:pos:R:3 pbc="T T T"
Be -0.645 -3.729 -2.580
Be -3.201 -6.042 2.388
Be -2.468 -7.464 -1.577
Be -1.378 -2.307 1.385
La -3.550 -5.089 -3.295
La -2.775 -1.700 -1.527
La -5.166 -6.433 -0.009
La -4.391 -3.044 1.758
Y 0.000 0.000 0.000
Y -1.923 -4.886 -0.096
```

---

4.
DFT (GGA-PBE) results for LaY2Be after structural relaxation.

Cell and atoms, written as extended XYZ:
```
4
Lattice="-3.931 -5.261 0.313 -0.731 -6.305 1.712 -2.245 -0.629 4.665" Properties=species:S:1:pos:R:3 pbc="T T T"
La -5.283 -9.609 4.906
Y -4.654 -11.532 2.032
Y -1.607 -2.505 1.804
Be -3.480 -6.215 3.317
```

---

5.
DFT (GGA-PBE) results for LaY4Be after structural relaxation.

Cell and atoms, written as extended XYZ:
```
6
Lattice="-2.468 2.292 5.514 -6.117 2.072 0.187 -4.466 -3.400 3.200" Properties=species:S:1:pos:R:3 pbc="T T T"
La 0.000 0.000 0.000
Be -9.789 0.723 6.675
Y -6.129 1.505 6.092
Y -7.126 -1.335 4.937
Y -7.950 1.396 3.433
Y -4.897 0.362 3.340
```

---

6.
DFT (GGA-PBE) results for LaY2Be after structural relaxation.

Cell and atoms, written as extended XYZ:
```
4
Lattice="-1.916 -0.993 4.924 -3.382 -4.103 0.792 1.640 -4.353 2.695" Properties=species:S:1:pos:R:3 pbc="T T T"
La -2.743 -7.087 6.308
Y 0.000 0.000 0.000
Y -0.914 -2.362 2.103
Be -1.829 -4.725 4.205
```

---

7.
DFT (GGA-PBE) results for LaY2Be after structural relaxation.

Cell and atoms, written as extended XYZ:
```
4
Lattice="-0.710 5.290 3.727 -2.803 5.821 0.799 -4.411 -0.033 3.148" Properties=species:S:1:pos:R:3 pbc="T T T"
La -5.943 8.308 5.755
Y -3.919 6.066 3.902
Y -3.555 10.584 4.460
Be -1.981 2.769 1.918
```

---

8.
DFT (GGA-PBE) results for La3YBe after structural relaxation.

Cell and atoms, written as extended XYZ:
```
5
Lattice="-2.228 1.972 4.713 3.738 -2.876 2.970 3.483 4.348 -0.173" Properties=species:S:1:pos:R:3 pbc="T T T"
La -1.114 0.986 2.356
La 1.741 2.174 -0.086
La 1.869 -1.438 1.485
Be 0.000 0.000 0.000
Y 2.496 1.722 3.755
```

Computed properties:
relative energy among the computed polymorphs: 0 meV per atom

---

9.
DFT (GGA-PBE) results for LaY2Be after structural relaxation.

Cell and atoms, written as extended XYZ:
```
8
Lattice="8.491 0.000 0.000 0.000 8.491 0.000 4.245 4.245 3.199" Properties=species:S:1:pos:R:3 pbc="T T T"
Y 2.695 6.368 0.800
Y 5.796 2.123 0.800
Y 10.614 10.041 2.400
Y 6.368 6.941 2.400
La 0.000 0.000 0.000
La 8.491 4.245 1.600
Be 4.245 8.491 1.600
Be 4.245 4.245 0.000
```

---

10.
DFT (GGA-PBE) results for LaY2Be after structural relaxation.

Cell and atoms, written as extended XYZ:
```
4
Lattice="-1.075 -2.865 2.338 3.478 -3.339 -2.492 3.785 1.381 3.432" Properties=species:S:1:pos:R:3 pbc="T T T"
Y 1.202 -3.102 -0.077
Y 0.000 0.000 0.000
La 3.632 -0.979 0.470
Be 1.355 -0.742 2.885
```

---

11.
DFT (GGA-PBE) results for LaY2Be after structural relaxation.

Cell and atoms, written as extended XYZ:
```
4
Lattice="-5.493 -1.567 -0.022 4.241 -4.880 -0.175 0.080 -1.179 3.312" Properties=species:S:1:pos:R:3 pbc="T T T"
Y -2.706 -1.373 1.645
Y 0.000 0.000 0.000
Be 2.161 -3.030 1.568
La -0.626 -3.224 -0.098
```

---

12.
DFT (GGA-PBE) results for LaY2Be after structural relaxation.

Cell and atoms, written as extended XYZ:
```
4
Lattice="-5.129 -0.804 9.012 -1.841 -1.917 10.056 -2.603 1.625 9.938" Properties=species:S:1:pos:R:3 pbc="T T T"
Y -9.547 -1.093 28.923
Y -2.232 -0.256 6.763
La -7.339 -0.841 22.234
Be -4.817 -0.552 14.594
```

---

no.,formation energy from the elements (eV per atom),energy (eV per atom)
1,0.2664,-5.1290
2,1.0986,-3.8959
3,0.1983,-4.5560
4,0.1399,-5.2556
5,0.6292,-5.1225
6,0.3563,-5.0391
7,0.1145,-5.2809
8,0.3394,-4.6551
9,0.3022,-5.0932
10,0.3246,-5.0708
11,0.4276,-4.9679
12,0.2513,-5.1442